# 1
Computed, not measured: a geometry-optimized Sr3Au5Br12 structure at the PBE level of DFT.

VASP energy	-2.947	eV/atom
calculated volume	31.85	Å³/atom
theoretical density	5.753	g/cm3
total magnetization	0.000	μB/f.u.
D(E_F)	48.35	states/eV/cell
uncorrected formation energy	-0.872	eV per atom

Lattice parameters (Å, degrees): 14.903 14.903 14.903 109.47 109.47 109.47
Atoms (fractional coordinates):
Sr 0.750 0.375 0.125
Sr 0.875 0.750 0.125
Sr 0.375 0.750 0.625
Sr 0.250 0.125 0.375
Sr 0.875 0.125 0.250
Sr 0.375 0.625 0.250
Sr 0.625 0.375 0.750
Sr 0.125 0.875 0.750
Sr 0.750 0.875 0.625
Sr 0.625 0.250 0.375
Sr 0.125 0.250 0.875
Sr 0.250 0.625 0.875
Au 0.125 0.375 0.250
Au 0.000 0.500 0.000
Au 0.000 0.000 0.000
Au 0.375 0.250 0.125
Au 0.500 0.000 0.500
Au 0.500 0.500 0.000
Au 0.125 0.750 0.375
Au 0.750 0.125 0.875
Au 0.750 0.625 0.375
Au 0.375 0.125 0.750
Au 0.625 0.875 0.250
Au 0.500 0.500 0.500
Au 0.500 0.000 0.000
Au 0.000 0.000 0.500
Au 0.250 0.375 0.625
Au 0.250 0.875 0.125
Au 0.000 0.500 0.500
Au 0.875 0.250 0.625
Au 0.625 0.750 0.875
Au 0.875 0.625 0.750
Br 0.713 0.128 0.039
Br 0.326 0.539 0.411
Br 0.961 0.372 0.287
Br 0.539 0.213 0.128
Br 0.585 0.713 0.674
Br 0.961 0.589 0.174
Br 0.326 0.787 0.415
Br 0.089 0.915 0.128
Br 0.589 0.961 0.674
Br 0.713 0.585 0.174
Br 0.787 0.461 0.372
Br 0.826 0.911 0.039
Br 0.128 0.713 0.539
Br 0.372 0.411 0.085
Br 0.085 0.911 0.372
Br 0.415 0.128 0.589
Br 0.085 0.174 0.213
Br 0.461 0.674 0.089
Br 0.826 0.915 0.287
Br 0.128 0.415 0.089
Br 0.372 0.961 0.787
Br 0.589 0.628 0.415
Br 0.911 0.826 0.539
Br 0.787 0.326 0.915
Br 0.411 0.372 0.585
Br 0.089 0.174 0.461
Br 0.213 0.674 0.085
Br 0.174 0.085 0.713
Br 0.628 0.039 0.213
Br 0.872 0.585 0.911
Br 0.539 0.326 0.911
Br 0.585 0.872 0.411
Br 0.915 0.826 0.787
Br 0.915 0.089 0.628
Br 0.872 0.287 0.461
Br 0.174 0.089 0.961
Br 0.628 0.589 0.915
Br 0.411 0.039 0.326
Br 0.287 0.415 0.826
Br 0.213 0.539 0.628
Br 0.911 0.085 0.872
Br 0.674 0.213 0.585
Br 0.461 0.787 0.872
Br 0.039 0.411 0.826
Br 0.415 0.287 0.326
Br 0.039 0.628 0.713
Br 0.674 0.461 0.589
Br 0.287 0.872 0.961

# 2
Computed, not measured: a geometry-optimized Sr2AuBr structure at the PBE level of DFT.

VASP energy	-3.170	eV/atom
calculated volume	34.06	Å³/atom
theoretical density	5.510	g/cm3
total magnetization	0.000	μB/f.u.
D(E_F)	2.03	states/eV/cell
energy relative to the lowest polymorph listed for this composition	0.0763	eV/atom
uncorrected formation energy	-1.092	eV per atom

Lattice parameters (Å, degrees): 3.914 4.033 8.635 88.52 90.00 90.00
Atoms (fractional coordinates):
Sr 0.000 0.761 0.041
Sr 0.000 0.739 0.459
Au 0.500 0.250 0.250
Br 0.500 0.750 0.750

# 3
Computed, not measured: a geometry-optimized SrAu2Br structure at the PBE level of DFT.

VASP energy	-3.368	eV/atom
calculated volume	32.47	Å³/atom
theoretical density	7.178	g/cm3
total magnetization	0.000	μB/f.u.
D(E_F)	0.65	states/eV/cell
energy relative to the lowest polymorph listed for this composition	0.0149	eV/atom
uncorrected formation energy	-0.891	eV per atom

Lattice parameters (Å, degrees): 4.666 4.666 7.326 72.95 72.95 59.94
Atoms (fractional coordinates):
Sr 0.265 0.265 0.212
Au 0.019 0.019 0.926
Au 0.689 0.689 0.917
Br 0.527 0.527 0.445

Question: Which of these has the highest uncorrected formation energy?
Answer: Sr3Au5Br12

Question: calculated volume of number 3 (SrAu2Br)?
Answer: 32.47 Å³/atom

Question: Number 1 is which compound?
Answer: Sr3Au5Br12

Question: Which of these has the lowest VASP energy?
Answer: SrAu2Br